# Zr2AlCd

Crystalline Zr2AlCd at its relaxed geometry (GGA-PBEsol, Alexandria).

The space group is Pmmm (No. 47) and the conventional cell measures 3.056, 4.213 and 6.097 Å, with angles of 90.00, 90.00 and 90.00 degrees. Symmetry generates all atoms from Zr at (0.000, 0.000, 0.242), Al at (0.500, 0.500, 0.000) and Cd at (0.500, 0.500, 0.500).

Its total energy is -6.168 eV per atom. The value obtained for the formation energy is -29.1 kJ/mol of atoms.